Computed, not measured: a relaxed structure of Ba2ErCuNi2O7 at the PBE+U level of DFT.

Computed properties:
Space-group type: Pmmm (47)
D(E_F): 4.0 states/eV/cell
E: -5.94 eV per atom

Unit cell a=3.884 b=3.948 c=11.506 alpha=90.00 beta=90.00 gamma=90.00
Sites, in units of the cell vectors:
Ba: 0.000 0.000 0.182
Ba: 0.000 0.000 0.818
Er: 0.000 0.000 0.500
Cu: 0.500 0.500 0.000
Ni: 0.500 0.500 0.344
Ni: 0.500 0.500 0.656
O: 0.000 0.500 0.379
O: 0.000 0.500 0.621
O: 0.500 0.000 0.000
O: 0.500 0.000 0.378
O: 0.500 0.000 0.622
O: 0.500 0.500 0.164
O: 0.500 0.500 0.836